Entry 1:
A plane-wave DFT calculation with PBE-GGA was carried out for crystalline Na3AsN at its relaxed geometry.

Lattice parameters (Å, degrees): 5.562 5.562 5.562 90.00 90.00 90.00
Positions (direct):
Na 0.000 0.000 0.500
Na 0.000 0.500 0.000
Na 0.500 0.000 0.000
As 0.000 0.000 0.000
N 0.500 0.500 0.500

Formation energy from raw total energies   0.70 eV/atom
N(E_F)   0.6 states/eV per cell

Entry 2:
A plane-wave DFT calculation with PBE-GGA was carried out for crystalline RbPd4Se2 at its relaxed geometry.

Lattice parameters (Å, degrees): 8.833 8.833 4.203 90.00 90.00 152.20
Positions (direct):
Rb 0.000 0.000 0.000
Pd 0.195 0.805 0.500
Pd 0.307 0.693 0.000
Pd 0.693 0.307 0.000
Pd 0.805 0.195 0.500
Se 0.383 0.617 0.500
Se 0.617 0.383 0.500

Formation energy from raw total energies   -0.43 eV/atom
N(E_F)   6.9 states/eV per cell

Entry 3:
A plane-wave DFT calculation with PBE-GGA was carried out for crystalline ScHg2Os at its relaxed geometry.

Lattice parameters (Å, degrees): 4.922 4.922 3.300 90.00 90.00 108.95
Positions (direct):
Sc 0.000 0.000 0.000
Hg 0.000 0.500 0.500
Hg 0.500 0.000 0.500
Os 0.500 0.500 0.000

N(E_F)   2.3 states/eV per cell
Formation energy from the elements   0.312 eV per atom

Entry 4:
A plane-wave DFT calculation with PBE-GGA was carried out for crystalline PuGe2Ir at its relaxed geometry.

Lattice parameters (Å, degrees): 9.495 9.495 9.495 153.71 123.88 63.00
Positions (direct):
Pu 0.206 0.206 0.000
Pu 0.241 0.000 0.241
Pu 0.759 0.000 0.759
Pu 0.794 0.794 0.000
Ge 0.076 0.576 0.500
Ge 0.145 0.799 0.346
Ge 0.423 0.423 0.000
Ge 0.453 0.799 0.654
Ge 0.547 0.201 0.346
Ge 0.577 0.577 0.000
Ge 0.855 0.201 0.654
Ge 0.924 0.424 0.500
Ir 0.106 0.355 0.751
Ir 0.396 0.645 0.751
Ir 0.604 0.355 0.249
Ir 0.894 0.645 0.249

N(E_F)   46.4 states/eV per cell
Formation energy from the elements   -0.559 eV per atom

Entry 5:
A plane-wave DFT calculation with PBE-GGA was carried out for crystalline BaIrBr2 at its relaxed geometry.

Lattice parameters (Å, degrees): 4.450 4.467 6.511 90.00 90.00 90.00
Positions (direct):
Ba 0.000 0.000 0.000
Ir 0.500 0.500 0.783
Br 0.000 0.000 0.524
Br 0.500 0.500 0.152

Formation energy from raw total energies   -0.22 eV/atom
N(E_F)   7.2 states/eV per cell

Entry 6:
A plane-wave DFT calculation with PBE-GGA was carried out for crystalline LaCuSn at its relaxed geometry.

Lattice parameters (Å, degrees): 6.386 6.386 6.386 148.36 148.36 45.36
Positions (direct):
La 0.000 0.000 0.000
Cu 0.332 0.332 0.000
Sn 0.709 0.709 0.000

N(E_F)   1.7 states/eV per cell
Formation energy from the elements   -0.291 eV per atom

Entry 7:
A plane-wave DFT calculation with PBE-GGA was carried out for crystalline LuGe2Au at its relaxed geometry.

Lattice parameters (Å, degrees): 4.356 4.356 4.095 90.00 90.00 90.00
Positions (direct):
Lu 0.000 0.000 0.000
Ge 0.000 0.500 0.500
Ge 0.500 0.000 0.500
Au 0.500 0.500 0.000

N(E_F)   1.8 states/eV per cell
Formation energy from the elements   -0.463 eV per atom

Entry 8:
A plane-wave DFT calculation with PBE-GGA was carried out for crystalline CoTcHgAs2 at its relaxed geometry.

Lattice parameters (Å, degrees): 4.721 4.721 4.954 90.00 90.00 90.00
Positions (direct):
Co 0.000 0.000 0.000
Tc 0.000 0.000 0.500
Hg 0.500 0.500 0.000
As 0.000 0.500 0.500
As 0.500 0.000 0.500

N(E_F)   6.6 states/eV per cell
Formation energy from the elements   0.662 eV per atom